A plane-wave DFT calculation with GGA-PBE was carried out for an optimized crystal structure of SmEr6Th2.

Calculated values
crystal system: monoclinic
relative energy among the computed polymorphs: 65 meV per atom

```
data_SmEr6Th2
_symmetry_space_group_name_H-M 'C 1 2/c 1'
_symmetry_Int_Tables_number 15
_cell_length_a 12.649
_cell_length_b 14.199
_cell_length_c 6.566
_cell_angle_alpha 90.00
_cell_angle_beta 101.85
_cell_angle_gamma 90.00
loop_
_symmetry_equiv_pos_as_xyz
'x,y,z'
'-x,-y,-z'
'-x,y,-z+1/2'
'x,-y,z+1/2'
'x+1/2,y+1/2,z'
'-x+1/2,-y+1/2,-z'
'-x+1/2,y+1/2,-z+1/2'
'x+1/2,-y+1/2,z+1/2'
loop_
_atom_site_label
_atom_site_type_symbol
_atom_site_fract_x
_atom_site_fract_y
_atom_site_fract_z
Sm1 Sm 0.000 0.115 0.250
Er1 Er 0.036 0.309 0.005
Er2 Er 0.138 0.087 0.818
Er3 Er 0.240 0.302 0.728
Th1 Th 0.134 0.475 0.378
```

A plane-wave DFT calculation with GGA-PBE was carried out for an optimized crystal structure of CaLa2Pm.

Calculated values
crystal system: trigonal
relative energy among the computed polymorphs: 4 meV per atom

```
data_CaLa2Pm
_symmetry_space_group_name_H-M 'R 3 m'
_symmetry_Int_Tables_number 160
_symmetry_space_group_name_Hall 'R 3 -2"'
_cell_length_a 3.7350
_cell_length_b 3.7350
_cell_length_c 37.3257
_cell_angle_alpha 90.00
_cell_angle_beta 90.00
_cell_angle_gamma 120.00
loop_
_atom_site_label
_atom_site_type_symbol
_atom_site_fract_x
_atom_site_fract_y
_atom_site_fract_z
Ca1 Ca 0.0000 0.0000 0.0000
La1 La 0.0000 0.0000 0.2459
La2 La 0.0000 0.0000 0.4207
Pm1 Pm 0.0000 0.0000 0.8333
```

A plane-wave DFT calculation with GGA-PBE was carried out for an optimized crystal structure of YSbPdPt.

Calculated values
crystal system: cubic
formation energy (no corrections): -0.8407 eV/atom

```
data_YSbPdPt
_symmetry_space_group_name_H-M 'F -4 3 m'
_symmetry_Int_Tables_number 216
_symmetry_space_group_name_Hall 'F -4 2 3'
_cell_length_a 6.842
_cell_length_b 6.842
_cell_length_c 6.842
_cell_angle_alpha 90.00
_cell_angle_beta 90.00
_cell_angle_gamma 90.00
loop_
_atom_site_label
_atom_site_type_symbol
_atom_site_fract_x
_atom_site_fract_y
_atom_site_fract_z
Y1 Y 0.000 0.000 0.000
Sb1 Sb 0.000 0.000 0.500
Pd1 Pd 0.250 0.250 0.250
Pt1 Pt 0.250 0.250 0.750
```

A plane-wave DFT calculation with GGA-PBE was carried out for an optimized crystal structure of TmAlZn2Pt4.

Calculated values
crystal system: trigonal
total DFT energy (no corrections): -5.23 eV/atom

```
data_TmAlZn2Pt4
_symmetry_space_group_name_H-M 'R -3 m'
_symmetry_Int_Tables_number 166
_symmetry_space_group_name_Hall '-R 3 2"'
_cell_length_a 4.4120
_cell_length_b 4.4120
_cell_length_c 23.2918
_cell_angle_alpha 90.00
_cell_angle_beta 90.00
_cell_angle_gamma 120.00
loop_
_atom_site_label
_atom_site_type_symbol
_atom_site_fract_x
_atom_site_fract_y
_atom_site_fract_z
Tm1 Tm 0.0000 0.0000 0.0000
Al1 Al 0.0000 0.0000 0.5000
Zn1 Zn 0.0000 0.0000 0.2511
Pt1 Pt 0.0000 0.0000 0.1311
Pt2 Pt 0.0000 0.0000 0.3943
```

A plane-wave DFT calculation with GGA-PBE was carried out for an optimized crystal structure of Hf4MgCo5.

Calculated values
crystal system: tetragonal
total DFT energy (no corrections): -8.03 eV/atom

```
data_Hf4MgCo5
_symmetry_space_group_name_H-M 'P 4/m m m'
_symmetry_Int_Tables_number 123
_symmetry_space_group_name_Hall '-P 4 2'
_cell_length_a 3.152
_cell_length_b 3.152
_cell_length_c 15.523
_cell_angle_alpha 90.00
_cell_angle_beta 90.00
_cell_angle_gamma 90.00
loop_
_atom_site_label
_atom_site_type_symbol
_atom_site_fract_x
_atom_site_fract_y
_atom_site_fract_z
Hf1 Hf 0.000 0.000 0.102
Hf2 Hf 0.000 0.000 0.307
Mg1 Mg 0.000 0.000 0.500
Co1 Co 0.500 0.500 0.000
Co2 Co 0.500 0.500 0.201
Co3 Co 0.500 0.500 0.394
```

A plane-wave DFT calculation with GGA-PBE was carried out for an optimized crystal structure of Ba3Tl2Bi4.

Calculated values
crystal system: monoclinic
relative energy among the computed polymorphs: 0 meV per atom

```
data_Ba3Tl2Bi4
_symmetry_space_group_name_H-M 'C 1 2/m 1'
_symmetry_Int_Tables_number 12
_cell_length_a 13.393
_cell_length_b 5.427
_cell_length_c 10.630
_cell_angle_alpha 90.00
_cell_angle_beta 112.20
_cell_angle_gamma 90.00
loop_
_symmetry_equiv_pos_as_xyz
'x,y,z'
'-x,-y,-z'
'-x,y,-z'
'x,-y,z'
'x+1/2,y+1/2,z'
'-x+1/2,-y+1/2,-z'
'-x+1/2,y+1/2,-z'
'x+1/2,-y+1/2,z'
loop_
_atom_site_label
_atom_site_type_symbol
_atom_site_fract_x
_atom_site_fract_y
_atom_site_fract_z
Ba1 Ba 0.000 0.000 0.000
Ba2 Ba 0.134 0.500 0.690
Tl1 Tl 0.171 0.500 0.333
Bi1 Bi 0.079 0.000 0.412
Bi2 Bi 0.221 0.500 0.058
```

A plane-wave DFT calculation with GGA-PBE was carried out for an optimized crystal structure of SiPdPt.

Calculated values
crystal system: cubic
formation energy (no corrections): -0.7000 eV/atom

```
data_SiPdPt
_symmetry_space_group_name_H-M 'F -4 3 m'
_symmetry_Int_Tables_number 216
_symmetry_space_group_name_Hall 'F -4 2 3'
_cell_length_a 5.736
_cell_length_b 5.736
_cell_length_c 5.736
_cell_angle_alpha 90.00
_cell_angle_beta 90.00
_cell_angle_gamma 90.00
loop_
_atom_site_label
_atom_site_type_symbol
_atom_site_fract_x
_atom_site_fract_y
_atom_site_fract_z
Si1 Si 0.000 0.000 0.000
Pd1 Pd 0.250 0.250 0.750
Pt1 Pt 0.250 0.250 0.250
```

A plane-wave DFT calculation with GGA-PBE was carried out for an optimized crystal structure of SrBeZnF6.

Calculated values
crystal system: trigonal
formation energy (no corrections): -3.0778 eV/atom

```
data_SrBeZnF6
_symmetry_space_group_name_H-M 'P -3 1 c'
_symmetry_Int_Tables_number 163
_symmetry_space_group_name_Hall '-P 3 2c'
_cell_length_a 5.1238
_cell_length_b 5.1238
_cell_length_c 10.2931
_cell_angle_alpha 90.00
_cell_angle_beta 90.00
_cell_angle_gamma 120.00
loop_
_atom_site_label
_atom_site_type_symbol
_atom_site_fract_x
_atom_site_fract_y
_atom_site_fract_z
Sr1 Sr 0.0000 0.0000 0.0000
Be1 Be 0.3333 0.6667 0.2500
Zn1 Zn 0.3333 0.6667 0.7500
F1 F 0.0382 0.3925 0.1491
```

A plane-wave DFT calculation with GGA-PBE was carried out for an optimized crystal structure of Tm3Ga5Pt6.

Calculated values
crystal system: orthorhombic
total DFT energy (no corrections): -5.59 eV/atom

```
data_Tm3Ga5Pt6
_symmetry_space_group_name_H-M 'P m m n'
_symmetry_Int_Tables_number 59
_cell_length_a 4.283
_cell_length_b 13.318
_cell_length_c 8.883
_cell_angle_alpha 90.00
_cell_angle_beta 90.00
_cell_angle_gamma 90.00
loop_
_symmetry_equiv_pos_as_xyz
'x,y,z'
'-x,-y,-z'
'-x+1/2,-y+1/2,z'
'x+1/2,y+1/2,-z'
'x+1/2,-y,-z'
'-x+1/2,y,z'
'-x,y+1/2,-z'
'x,-y+1/2,z'
loop_
_atom_site_label
_atom_site_type_symbol
_atom_site_fract_x
_atom_site_fract_y
_atom_site_fract_z
Tm1 Tm 0.250 0.062 0.246
Tm2 Tm 0.250 0.750 0.227
Ga1 Ga 0.250 0.077 0.883
Ga2 Ga 0.250 0.631 0.518
Ga3 Ga 0.250 0.750 0.769
Pt1 Pt 0.250 0.055 0.602
Pt2 Pt 0.250 0.250 0.017
Pt3 Pt 0.250 0.250 0.436
Pt4 Pt 0.250 0.612 0.972
```

A plane-wave DFT calculation with GGA-PBE was carried out for an optimized crystal structure of TiBe2F.

Calculated values
crystal system: tetragonal
formation energy (no corrections): -0.1230 eV/atom
relative energy among the computed polymorphs: 0 meV per atom

```
data_TiBe2F
_symmetry_space_group_name_H-M 'I -4 2 d'
_symmetry_Int_Tables_number 122
_symmetry_space_group_name_Hall 'I -4 2bw'
_cell_length_a 5.372
_cell_length_b 5.372
_cell_length_c 7.050
_cell_angle_alpha 90.00
_cell_angle_beta 90.00
_cell_angle_gamma 90.00
loop_
_atom_site_label
_atom_site_type_symbol
_atom_site_fract_x
_atom_site_fract_y
_atom_site_fract_z
Ti1 Ti 0.000 0.000 0.000
Be1 Be 0.117 0.750 0.625
F1 F 0.000 0.000 0.500
```

A plane-wave DFT calculation with GGA-PBE was carried out for an optimized crystal structure of La2AlReOs.

Calculated values
crystal system: tetragonal
total DFT energy (no corrections): -6.92 eV/atom

```
data_La2AlReOs
_symmetry_space_group_name_H-M 'P 4/m m m'
_symmetry_Int_Tables_number 123
_symmetry_space_group_name_Hall '-P 4 2'
_cell_length_a 5.604
_cell_length_b 5.604
_cell_length_c 4.705
_cell_angle_alpha 90.00
_cell_angle_beta 90.00
_cell_angle_gamma 90.00
loop_
_atom_site_label
_atom_site_type_symbol
_atom_site_fract_x
_atom_site_fract_y
_atom_site_fract_z
La1 La 0.000 0.500 0.000
Al1 Al 0.000 0.000 0.500
Re1 Re 0.500 0.500 0.500
Os1 Os 0.500 0.500 0.000
```

A plane-wave DFT calculation with GGA-PBE was carried out for an optimized crystal structure of SbAu3Se.

Calculated values
crystal system: cubic
formation energy (no corrections): 0.6648 eV/atom
relative energy among the computed polymorphs: 86 meV per atom

```
data_SbAu3Se
_symmetry_space_group_name_H-M 'P m -3 m'
_symmetry_Int_Tables_number 221
_symmetry_space_group_name_Hall '-P 4 2 3'
_cell_length_a 5.237
_cell_length_b 5.237
_cell_length_c 5.237
_cell_angle_alpha 90.00
_cell_angle_beta 90.00
_cell_angle_gamma 90.00
loop_
_atom_site_label
_atom_site_type_symbol
_atom_site_fract_x
_atom_site_fract_y
_atom_site_fract_z
Sb1 Sb 0.000 0.000 0.000
Au1 Au 0.000 0.000 0.500
Se1 Se 0.500 0.500 0.500
```

| no. | N(E_F) (states/eV per atom) |
| --- | --- |
| 1 | 1.39 |
| 2 | 1.43 |
| 3 | 0.78 |
| 4 | 0.36 |
| 5 | 0.76 |
| 6 | 0.25 |
| 7 | 0.35 |
| 8 | 0.00 |
| 9 | 0.43 |
| 10 | 0.65 |
| 11 | 1.06 |
| 12 | 0.65 |